(1)
Tb2TmC2 PBE optimized geometry; uncorrected energy = -0.24416 Ha/atom; SG = C2/m; M_tot = 0.1589 μB per atom; E_form = -0.208 eV/atom
1.0
5.1366 0.0000 0.0000
-2.5683 5.2604 -2.3149
0.0000 0.4273 7.2650
Tb Tm C
4 2 4
direct
0.6638 0.3276 0.5718
0.3362 0.6724 0.4282
0.0076 0.0153 0.7323
0.9924 0.9847 0.2677
0.3459 0.6917 0.9038
0.6541 0.3083 0.0962
0.1688 0.3376 0.5926
0.8312 0.6624 0.4074
0.4983 0.9966 0.2363
0.5017 0.0034 0.7637

(2)
Pa2HgPd PBE optimized geometry; uncorrected energy = -0.23152 Ha/atom; SG = P4/mmm; energy above the most stable polymorph in this dataset = 0 meV per atom; M_tot = 0.0006 μB per atom; E_form = -0.178 eV/atom
1.0
3.1852 0.0000 0.0000
0.0000 3.1852 0.0000
0.0000 0.0000 8.8459
Pa Hg Pd
2 1 1
direct
0.0000 0.0000 0.7705
0.0000 0.0000 0.2295
0.5000 0.5000 0.5000
0.5000 0.5000 0.0000

(3)
CaTeBrO2 PBE optimized geometry; uncorrected energy = -0.18120 Ha/atom; uncorrected formation energy = -1.584 eV per atom; SG = P2_1/m; M_tot = 0.0000 μB per atom
1.0
4.4803 0.0000 0.0000
0.0000 6.8037 -0.2723
0.0000 -1.7823 7.2199
Ca Te Br O
2 2 2 4
direct
0.2500 0.6665 0.9182
0.7500 0.3335 0.0818
0.2500 0.6777 0.4211
0.7500 0.3223 0.5789
0.2500 0.0697 0.8215
0.7500 0.9303 0.1785
0.7500 0.4793 0.4014
0.2500 0.5207 0.5986
0.7500 0.5032 0.8385
0.2500 0.4968 0.1615

(4)
Rb4PrI6 PBE optimized geometry; uncorrected energy = -0.11041 Ha/atom; uncorrected formation energy = -1.372 eV per atom; SG = P4/mnc; M_tot = 0.0918 μB per atom
1.0
10.0910 0.0000 0.0000
0.0000 10.0910 0.0000
0.0000 0.0000 10.5431
Rb Pr I
8 2 12
direct
0.3296 0.1704 0.2500
0.1704 0.6704 0.7500
0.6704 0.8296 0.7500
0.8296 0.3296 0.7500
0.3296 0.1704 0.7500
0.1704 0.6704 0.2500
0.8296 0.3296 0.2500
0.6704 0.8296 0.2500
0.5000 0.5000 0.0000
0.0000 0.0000 0.5000
0.3084 0.8994 0.5000
0.8084 0.6006 0.0000
0.6006 0.1916 0.0000
0.1006 0.3084 0.5000
0.0000 0.0000 0.1985
0.5000 0.5000 0.3015
0.3994 0.8084 0.0000
0.0000 0.0000 0.8015
0.1916 0.3994 0.0000
0.5000 0.5000 0.6985
0.8994 0.6916 0.5000
0.6916 0.1006 0.5000

Q: Which of these has the lowest M_tot?
A: CaTeBrO2

Q: M_tot of number 3 (CaTeBrO2)?
A: 0.0000 μB per atom